# 1
Computed, not measured: a geometry-optimized BeNb structure at the PBE level of DFT. Values from VASP.

```
&SYSTEM
  ibrav = 0, nat = 16, ntyp = 2
/
ATOMIC_SPECIES
Be 9.01 Be.upf
Nb 92.91 Nb.upf
ATOMIC_POSITIONS angstrom
Be 0.6571 0.7064 2.0773
Be 0.6699 2.0243 3.7360
Be 1.6967 2.8628 8.3788
Be 1.7095 4.1807 6.7200
Be 3.0237 1.7372 7.2081
Be 3.0364 0.4192 5.5494
Be 4.0633 4.4679 0.9067
Be 4.0761 3.1499 2.5654
Nb 0.6126 4.4354 4.4292
Nb 0.6180 1.7161 6.3370
Nb 1.7486 3.1710 1.6943
Nb 1.7540 0.4517 9.0719
Nb 2.9792 2.8952 4.8562
Nb 2.9846 0.7275 2.9484
Nb 4.1152 4.1596 7.5911
Nb 4.1206 1.9919 0.2135
CELL_PARAMETERS angstrom
4.7332 0.0000 0.0000
0.0000 4.8871 0.0000
0.0000 0.0000 9.2854
```

space-group type = P2_12_12_1, No. 19

***

# 2
Computed, not measured: a geometry-optimized BeNb structure at the PBE level of DFT. Values from VASP.

```
&SYSTEM
  ibrav = 0, nat = 2, ntyp = 2
/
ATOMIC_SPECIES
Be 9.01 Be.upf
Nb 92.91 Nb.upf
ATOMIC_POSITIONS angstrom
Be 0.0000 0.0000 0.0000
Nb 0.0000 0.0000 2.4327
CELL_PARAMETERS angstrom
-1.4835 1.9658 2.4327
1.4835 -1.9658 2.4327
1.4835 1.9658 -2.4327
```

space-group type = Immm, No. 71

***

# 3
Computed, not measured: a geometry-optimized BeNb structure at the PBE level of DFT. Values from VASP.

```
&SYSTEM
  ibrav = 0, nat = 4, ntyp = 2
/
ATOMIC_SPECIES
Be 9.01 Be.upf
Nb 92.91 Nb.upf
ATOMIC_POSITIONS angstrom
Be 1.1911 0.0000 0.0000
Be 4.4033 0.0000 0.0000
Nb 2.7972 1.6501 1.3799
Nb 2.7972 -1.6501 1.3799
CELL_PARAMETERS angstrom
2.7972 -3.5188 0.0000
2.7972 3.5188 0.0000
0.0000 0.0000 2.7599
```

space-group type = Cmmm, No. 65

***

# 4
Computed, not measured: a geometry-optimized BeNb4 structure at the PBE level of DFT. Values from VASP.

```
&SYSTEM
  ibrav = 0, nat = 10, ntyp = 2
/
ATOMIC_SPECIES
Be 9.01 Be.upf
Nb 92.91 Nb.upf
ATOMIC_POSITIONS angstrom
Be 1.1319 1.1319 1.1319
Be 7.9234 7.9234 7.9234
Nb 2.4003 2.4003 2.4003
Nb 4.3912 4.3912 2.4003
Nb 4.3912 2.4003 4.3912
Nb 6.6550 4.6641 4.6641
Nb 2.4003 4.3912 4.3912
Nb 4.6641 6.6550 4.6641
Nb 4.6641 4.6641 6.6550
Nb 6.6550 6.6550 6.6550
CELL_PARAMETERS angstrom
0.0000 4.5276 4.5276
4.5276 0.0000 4.5276
4.5276 4.5276 0.0000
```

space-group type = Fd-3m, No. 227
ΔE to the lowest computed polymorph = 444 meV/atom

***

# 5
Computed, not measured: a geometry-optimized BeNb structure at the PBE level of DFT. Values from VASP.

```
&SYSTEM
  ibrav = 0, nat = 8, ntyp = 2
/
ATOMIC_SPECIES
Be 9.01 Be.upf
Nb 92.91 Nb.upf
ATOMIC_POSITIONS angstrom
Be 2.4153 2.4153 -2.4153
Be 2.4153 -2.4153 2.4153
Be 1.4363 1.4363 1.4363
Be -2.4153 2.4153 2.4153
Nb 0.9564 0.9564 -0.9564
Nb 0.9564 -0.9564 0.9564
Nb -0.9564 0.9564 0.9564
Nb 2.8953 2.8953 2.8953
CELL_PARAMETERS angstrom
-3.8516 3.8516 3.8516
3.8516 -3.8516 3.8516
3.8516 3.8516 -3.8516
```

space-group type = I-43m, No. 217

***

# 6
Computed, not measured: a geometry-optimized Be3Nb2Ni structure at the PBE level of DFT. Values from VASP.

```
&SYSTEM
  ibrav = 0, nat = 6, ntyp = 3
/
ATOMIC_SPECIES
Be 9.01 Be.upf
Nb 92.91 Nb.upf
Ni 58.69 Ni.upf
ATOMIC_POSITIONS angstrom
Be -1.1763 -0.6792 3.7255
Be -1.1763 0.6792 7.4510
Be 0.0000 1.3583 3.7255
Nb 0.0000 0.0000 1.3742
Nb 0.0000 0.0000 9.8023
Ni 0.0000 0.0000 5.5883
CELL_PARAMETERS angstrom
2.3527 1.3583 3.7255
-2.3527 1.3583 3.7255
0.0000 -2.7167 3.7255
```

space-group type = R-3m, No. 166

***

# 7
Computed, not measured: a geometry-optimized Be15Nb6Ni8 structure at the PBE level of DFT. Values from VASP.

```
&SYSTEM
  ibrav = 0, nat = 29, ntyp = 3
/
ATOMIC_SPECIES
Be 9.01 Be.upf
Nb 92.91 Nb.upf
Ni 58.69 Ni.upf
ATOMIC_POSITIONS angstrom
Be 0.0000 0.0000 0.0000
Be 2.6797 2.6797 0.0000
Be 2.6797 0.0000 2.6797
Be 5.3593 2.6797 2.6797
Be 3.4947 1.8647 1.8647
Be 1.8647 3.4947 1.8647
Be 1.8647 1.8647 3.4947
Be 3.4947 3.4947 3.4947
Be 0.0000 2.6797 2.6797
Be 2.6797 5.3593 2.6797
Be 2.6797 2.6797 5.3593
Be 7.2240 7.2240 7.2240
Be 8.8540 8.8540 7.2240
Be 8.8540 7.2240 8.8540
Be 7.2240 8.8540 8.8540
Nb 5.3593 5.3593 3.1819
Nb 5.3593 3.1819 5.3593
Nb 7.5368 5.3593 5.3593
Nb 3.1819 5.3593 5.3593
Nb 5.3593 7.5368 5.3593
Nb 5.3593 5.3593 7.5368
Ni 1.3157 1.3157 1.3157
Ni 4.0437 4.0437 1.3157
Ni 4.0437 1.3157 4.0437
Ni 9.4030 6.6750 6.6750
Ni 1.3157 4.0437 4.0437
Ni 6.6750 9.4030 6.6750
Ni 6.6750 6.6750 9.4030
Ni 9.4030 9.4030 9.4030
CELL_PARAMETERS angstrom
0.0000 5.3593 5.3593
5.3593 0.0000 5.3593
5.3593 5.3593 0.0000
```

space-group type = Fm-3m, No. 225

***

# 8
Computed, not measured: a geometry-optimized BeNb2Ni3 structure at the PBE level of DFT. Values from VASP.

```
&SYSTEM
  ibrav = 0, nat = 12, ntyp = 3
/
ATOMIC_SPECIES
Be 9.01 Be.upf
Nb 92.91 Nb.upf
Ni 58.69 Ni.upf
ATOMIC_POSITIONS angstrom
Be 0.0000 0.0000 0.0000
Be 0.0000 0.0000 3.7665
Nb 0.0000 2.7838 0.3989
Nb 0.0000 2.7838 3.3676
Nb 2.4108 1.3919 4.1655
Nb 2.4108 1.3919 7.1342
Ni 0.0000 1.3940 5.6498
Ni -1.2036 3.4787 5.6498
Ni 1.2072 0.6970 1.8833
Ni 1.2036 3.4787 5.6498
Ni 3.6144 0.6970 1.8833
Ni 2.4108 2.7817 1.8833
CELL_PARAMETERS angstrom
4.8216 0.0000 0.0000
-2.4108 4.1757 0.0000
0.0000 0.0000 7.5331
```

space-group type = P6_3/mmc, No. 194

***

In order of appearance, energy of formation from the pure elements = -0.0853; 0.2515; -0.0579; 1.0049; 1.7318; -0.2514; -0.3970; -0.2689 eV/atom.
In order of appearance, DOS(E_F) = 0.85; 0.53; 0.30; 1.47; 1.10; 1.17; 0.23; 1.09 states/eV/atom.
In order of appearance, magnetic moment = 0.00; 0.00; 0.00; 0.00; 0.00; 0.01; 0.00; 0.00 μB/cell.